DFT (PBE) results for an optimized crystal structure of Pm2RuC2.

Calculated values
E, eV per atom: -7.404
Theoretical density, Mg/m³: 8.255
Calculated volume, Å³ per atom: 16.700
Space-group type: C2/c
Energy of formation from the pure elements, eV/atom: 0.041

Cell lengths 5.403, 5.992, 6.258 Å; angles 110.03, 90.00, 116.80 degrees
Fractional coordinates of all 10 atoms:
Ru (0.081, 0.000, 0.750)
C (0.916, 0.187, 0.029)
C (0.084, 0.813, 0.971)
C (0.271, 0.187, 0.529)
Pm (0.526, 0.304, 0.211)
Pm (0.222, 0.696, 0.289)
C (0.729, 0.813, 0.471)
Pm (0.778, 0.304, 0.711)
Ru (0.919, 0.000, 0.250)
Pm (0.474, 0.696, 0.789)


DFT (PBE) results for an optimized crystal structure of Pm2Ru2C.

Calculated values
E, eV per atom: -7.461
Theoretical density, Mg/m³: 8.724
Calculated volume, Å³ per atom: 19.192
Space-group type: C2/c
Energy of formation from the pure elements, eV/atom: -0.006

Cell lengths 6.167, 6.167, 5.983 Å; angles 83.30, 83.30, 58.32 degrees
Fractional coordinates of all 10 atoms:
Ru (0.006, 0.776, 0.047)
Pm (0.763, 0.520, 0.382)
Pm (0.237, 0.480, 0.618)
Ru (0.994, 0.224, 0.953)
C (0.038, 0.962, 0.750)
Ru (0.776, 0.006, 0.547)
Pm (0.520, 0.763, 0.882)
Pm (0.480, 0.237, 0.118)
Ru (0.224, 0.994, 0.453)
C (0.962, 0.038, 0.250)


DFT (PBE) results for an optimized crystal structure of PmRuC2.

Calculated values
E, eV per atom: -8.286
Theoretical density, Mg/m³: 8.115
Calculated volume, Å³ per atom: 13.816
Space-group type: Cmcm
Energy of formation from the pure elements, eV/atom: -0.167

Cell lengths 4.376, 5.241, 5.304 Å; angles 90.00, 90.00, 114.68 degrees
Fractional coordinates of all 8 atoms:
C (0.923, 0.161, 0.750)
Ru (0.500, 0.000, 0.000)
Pm (0.184, 0.369, 0.250)
Ru (0.500, 0.000, 0.500)
C (0.237, 0.161, 0.750)
C (0.763, 0.839, 0.250)
C (0.077, 0.839, 0.250)
Pm (0.816, 0.631, 0.750)


DFT (PBE) results for an optimized crystal structure of PmRuC2.

Calculated values
E, eV per atom: -8.251
Theoretical density, Mg/m³: 7.728
Calculated volume, Å³ per atom: 14.508
Space-group type: Amm2
Energy of formation from the pure elements, eV/atom: -0.133

Cell lengths 3.898, 3.931, 3.931 Å; angles 105.52, 90.00, 90.00 degrees
Fractional coordinates of all 4 atoms:
C (0.500, 0.556, 0.151)
Pm (0.000, 0.995, 0.005)
C (0.500, 0.849, 0.444)
Ru (0.500, 0.381, 0.619)


Which of these has the highest E? Pm2RuC2